No. 1
Compound: AcPmSn2O8
Source: the Alexandria database
Functional: PBE
Structure: relaxed

Computed properties:
Crystal system = tetragonal
Formation energy (no corrections) = -24.90 eV per formula unit
Electronic total energy = -81.43 eV for the cell shown

Unit cell a=7.0127 b=7.0127 c=7.0127 alpha=133.45 beta=133.45 gamma=67.95
Closest atoms and distances in Å follow each position.
Fractional coordinates of all 12 atoms:
Ac1 0.0000 0.0000 0.0000  8 O 2.54-2.59
Pm1 0.7500 0.2500 0.5000  8 O 2.45-2.47
Sn1 0.2500 0.7500 0.5000  4 O 2.00
Sn2 0.5000 0.5000 0.0000  4 O 2.00
O1 0.0944 0.6465 0.0644  1 Sn 2.00
O2 0.1568 0.2332 0.5790  1 Sn 2.00
O3 0.3535 0.4179 0.4479  1 Sn 2.00
O4 0.4223 0.8432 0.0765  1 Sn 2.00
O5 0.5821 0.0299 0.9356  1 Sn 2.00
O6 0.6542 0.5777 0.4210  1 Sn 2.00
O7 0.7668 0.3458 0.9235  1 Sn 2.00
O8 0.9701 0.9056 0.5521  1 Sn 2.00

=====

No. 2
Compound: AcPm2TaO8
Source: the Alexandria database
Functional: PBE
Structure: relaxed

Computed properties:
Crystal system = monoclinic
Formation energy (no corrections) = -34.37 eV per formula unit
Electronic total energy = -99.50 eV for the cell shown

Unit cell a=5.7280 b=4.0297 c=7.5071 alpha=90.00 beta=91.37 gamma=90.00
Closest atoms and distances in Å follow each position.
Fractional coordinates of all 12 atoms:
Ac1 0.0000 0.0000 0.0000  8 O 2.52-2.69
Pm1 0.4946 0.5000 0.2409  4 O 2.25-2.45
Pm2 0.5054 0.5000 0.7591  4 O 2.25-2.45
Ta1 0.0000 0.0000 0.5000  8 O 1.96-2.18
O1 0.1010 0.5000 0.4376  1 O 1.51
O2 0.2340 0.0000 0.6941  1 Ta 1.96
O3 0.2648 0.5000 0.9940  2 Pm 2.25-2.26
O4 0.2659 0.0000 0.2978  1 Ta 2.18
O5 0.7341 0.0000 0.7022  1 Ta 2.18
O6 0.7352 0.5000 0.0060  2 Pm 2.25-2.26
O7 0.7660 0.0000 0.3059  1 Ta 1.96
O8 0.8990 0.5000 0.5624  1 O 1.51

=====

> Which value of electronic total energy does entry 1 give?

-81.43 eV for the cell shown

=====

> The lowest electronic total energy belongs to which entry?

AcPm2TaO8

=====

> Number 2 is which compound?

AcPm2TaO8